1.
First-principles (GGA-PBE) data for a relaxed Tc2AgAs crystal, as listed in the Alexandria database.

Lattice parameters (Å, degrees): 5.310 5.310 5.310 146.56 130.54 61.03
Fractional coordinates of all 4 atoms:
Tc (0.000, 0.000, 0.000)
Tc (0.750, 0.250, 0.500)
Ag (0.280, 0.780, 0.500)
As (0.533, 0.533, 0.000)

Results
Space group: Imm2

2.
First-principles (GGA-PBE) data for a relaxed TcAgAs2 crystal, as listed in the Alexandria database.

Lattice parameters (Å, degrees): 3.280 4.112 5.091 90.00 90.00 90.00
Fractional coordinates of all 4 atoms:
Tc (0.000, 0.000, 0.000)
Ag (0.500, 0.000, 0.500)
As (0.000, 0.500, 0.500)
As (0.500, 0.500, 0.000)

Results
Excess energy over the best structure of this formula in the dataset, eV/atom: 0.512
Space group: Pmmm

3.
First-principles (GGA-PBE) data for a relaxed TcAgAs2 crystal, as listed in the Alexandria database.

Lattice parameters (Å, degrees): 4.420 4.420 5.412 99.53 99.53 41.95
Fractional coordinates of all 4 atoms:
Tc (0.000, 0.000, 0.000)
Ag (0.500, 0.500, 0.500)
As (0.271, 0.271, 0.794)
As (0.729, 0.729, 0.206)

Results
Excess energy over the best structure of this formula in the dataset, eV/atom: 0.174
Space group: C2/m

4.
First-principles (GGA-PBE) data for a relaxed Tc2AgAs2 crystal, as listed in the Alexandria database.

Lattice parameters (Å, degrees): 7.201 7.201 3.071 90.00 90.00 90.00
Fractional coordinates of all 10 atoms:
Tc (0.143, 0.357, 0.000)
Tc (0.357, 0.857, 0.000)
Tc (0.643, 0.143, 0.000)
Tc (0.857, 0.643, 0.000)
Ag (0.000, 0.000, 0.000)
Ag (0.500, 0.500, 0.000)
As (0.151, 0.651, 0.500)
As (0.349, 0.151, 0.500)
As (0.651, 0.849, 0.500)
As (0.849, 0.349, 0.500)

Results
Excess energy over the best structure of this formula in the dataset, eV/atom: 0.000
Space group: P4/mbm

| no. | ΔE_f (eV per atom) | total magnetic moment (μB/cell) | energy (eV per cell) |
| --- | --- | --- | --- |
| 1 | 0.41 | 0.000 | -26.6 |
| 2 | 0.50 | 0.000 | -20.5 |
| 3 | 0.16 | 0.001 | -21.9 |
| 4 | 0.08 | 0.000 | -65.0 |